--- a ---
First-principles (PBE) data for a geometry-optimized PmAlPt structure, as listed in OQMD.

a = 7.1204 Å, b = 4.4835 Å, c = 7.8329 Å
α = 90.00°, β = 90.00°, γ = 90.00°
Positions (direct):
Pm (0.5293, 0.2500, 0.6821)
Pm (0.9707, 0.7500, 0.1821)
Pm (0.4707, 0.7500, 0.3179)
Pm (0.0293, 0.2500, 0.8179)
Pt (0.7192, 0.7500, 0.8878)
Pt (0.2808, 0.2500, 0.1122)
Pt (0.2192, 0.7500, 0.6122)
Pt (0.7808, 0.2500, 0.3878)
Al (0.6458, 0.2500, 0.0667)
Al (0.1458, 0.2500, 0.4333)
Al (0.3542, 0.7500, 0.9333)
Al (0.8542, 0.7500, 0.5667)

Output
- Symmetry: No. 62
- Total moment: 0.00 μB/f.u.



--- b ---
First-principles (PBE) data for a geometry-optimized PmAlPt structure, as listed in OQMD.

a = 4.6718 Å, b = 4.6718 Å, c = 4.6718 Å
α = 60.00°, β = 60.00°, γ = 60.00°
Positions (direct):
Al (0.2500, 0.2500, 0.2500)
Pm (0.7500, 0.7500, 0.7500)
Pt (0.0000, 0.0000, 0.0000)

Output
- Symmetry: No. 216
- Total moment: 0.29 μB/f.u.



--- c ---
First-principles (PBE) data for a geometry-optimized PmAlPt structure, as listed in OQMD.

a = 4.7815 Å, b = 4.7815 Å, c = 4.7815 Å
α = 60.00°, β = 60.00°, γ = 60.00°
Positions (direct):
Al (0.2500, 0.2500, 0.2500)
Pt (0.7500, 0.7500, 0.7500)
Pm (0.0000, 0.0000, 0.0000)

Output
- Symmetry: No. 216
- Total moment: 0.00 μB/f.u.



Stability comparison, relative energies in meV per atom: a 0; b 307; c 1015



--- a ---
First-principles (PBE) data for a geometry-optimized PmScAl structure, as listed in OQMD.

a = 4.9216 Å, b = 4.9216 Å, c = 4.9216 Å
α = 60.00°, β = 60.00°, γ = 60.00°
Positions (direct):
Pm (0.7500, 0.7500, 0.7500)
Al (0.2500, 0.2500, 0.2500)
Sc (0.0000, 0.0000, 0.0000)

Output
- Symmetry: No. 216
- Total moment: 0.94 μB/f.u.



--- b ---
First-principles (PBE) data for a geometry-optimized PmScAl structure, as listed in OQMD.

a = 4.9821 Å, b = 4.9821 Å, c = 4.9821 Å
α = 60.00°, β = 60.00°, γ = 60.00°
Positions (direct):
Sc (0.7500, 0.7500, 0.7500)
Al (0.2500, 0.2500, 0.2500)
Pm (0.0000, 0.0000, 0.0000)

Output
- Symmetry: No. 216
- Total moment: 0.00 μB/f.u.



Stability comparison, relative energies in meV per atom: a 0; b 145



--- a ---
First-principles (PBE) data for a geometry-optimized PmAlTl structure, as listed in OQMD.

a = 5.0687 Å, b = 5.0687 Å, c = 5.0687 Å
α = 60.00°, β = 60.00°, γ = 60.00°
Positions (direct):
Pm (0.0000, 0.0000, 0.0000)
Tl (0.7500, 0.7500, 0.7500)
Al (0.2500, 0.2500, 0.2500)

Output
- Symmetry: No. 216
- Total moment: 0.01 μB/f.u.



--- b ---
First-principles (PBE) data for a geometry-optimized PmAlTl structure, as listed in OQMD.

a = 4.8752 Å, b = 4.8752 Å, c = 4.8752 Å
α = 60.00°, β = 60.00°, γ = 60.00°
Positions (direct):
Al (0.0000, 0.0000, 0.0000)
Tl (0.7500, 0.7500, 0.7500)
Pm (0.2500, 0.2500, 0.2500)

Output
- Symmetry: No. 216
- Total moment: 0.00 μB/f.u.



Stability comparison, relative energies in meV per atom: a 251; b 0